No. 1
This record from Alexandria via LeMat-Bulk describes a geometry-optimized ScPW2Br structure. The functional is PBEsol.

Lattice parameters (Å, degrees): 4.4474 4.4474 5.0022 90.00 90.00 90.00
With the nearest neighbours (Å) after each atom.
Sites, in units of the cell vectors:
Sc  0.0000  0.0000  0.0000  2 P 2.50
P  0.0000  0.0000  0.5000  4 W 2.22
W  0.0000  0.5000  0.5000  2 P 2.22
W  0.5000  0.0000  0.5000  2 P 2.22
Br  0.5000  0.5000  0.0000  4 Sc 3.14, 8 W 3.35

## Properties
Total magnetic moment = 0.00 μB/atom
Symmetry = No. 123
Calculated volume = 99 Å³ per cell
Formation energy from raw total energies = 17.4 kcal/mol of atoms

***

No. 2
This record from Alexandria via LeMat-Bulk describes a geometry-optimized PSeBr structure. The functional is PBEsol.

Lattice parameters (Å, degrees): 3.1424 3.1424 13.7781 90.00 90.00 90.00
With the nearest neighbours (Å) after each atom.
Sites, in units of the cell vectors:
P  0.0000  0.0000  0.0000  4 Se 2.49
P  0.5000  0.5000  0.5000  4 Se 2.49
Se  0.0000  0.0000  0.5819  4 P 2.49
Se  0.5000  0.5000  0.0819  4 P 2.49
Br  0.0000  0.0000  0.3014  4 Br 3.14
Br  0.5000  0.5000  0.8014  4 Br 3.14

## Properties
Total magnetic moment = 0.00 μB/atom
Symmetry = No. 107
Calculated volume = 136 Å³ per cell
Formation energy from raw total energies = 6.7 kcal/mol of atoms

***

No. 3
This record from Alexandria via LeMat-Bulk describes a geometry-optimized P2SeBr structure. The functional is PBEsol.

Lattice parameters (Å, degrees): 3.4274 3.7497 6.4737 90.00 90.00 90.00
With the nearest neighbours (Å) after each atom.
Sites, in units of the cell vectors:
P  0.0000  0.0000  0.0000  4 Br 2.54
P  0.5000  0.0000  0.5000  4 Se 2.54
Se  0.0000  0.5000  0.5000  4 P 2.54
Br  0.5000  0.5000  0.0000  4 P 2.54

## Properties
Total magnetic moment = 0.00 μB/atom
Symmetry = No. 47
Calculated volume = 83 Å³ per cell
Formation energy from raw total energies = 15.3 kcal/mol of atoms
Energy relative to the lowest polymorph listed for this composition = 0.613 eV/atom

***

No. 4
This record from Alexandria via LeMat-Bulk describes a geometry-optimized P2SeBr structure. The functional is PBEsol.

Lattice parameters (Å, degrees): 9.9880 3.2620 5.7175 90.00 99.43 90.00
With the nearest neighbours (Å) after each atom.
Sites, in units of the cell vectors:
P  0.0000  0.0000  0.0000  1 Se 2.22, 2 P 2.26
P  0.0641  0.5000  0.2688  1 Br 2.24, 2 P 2.26
P  0.5000  0.5000  0.0000  1 Se 2.22, 2 P 2.26
P  0.5641  0.0000  0.2688  1 Br 2.24, 2 P 2.26
Se  0.1861  0.0000  0.8344  1 P 2.22
Se  0.6861  0.5000  0.8344  1 P 2.22
Br  0.3737  0.0000  0.4298  1 P 2.24
Br  0.8737  0.5000  0.4298  1 P 2.24

## Properties
Total magnetic moment = 0.00 μB/atom
Symmetry = No. 8
Calculated volume = 184 Å³ per cell
Formation energy from raw total energies = 1.1 kcal/mol of atoms
Energy relative to the lowest polymorph listed for this composition = 0.000 eV/atom

***

Q: total magnetic moment of number 1 (ScPW2Br)?
A: 0.00 μB/atom

***

Q: The highest formation energy from raw total energies belongs to which entry?
A: ScPW2Br

***

Q: What is the formation energy from raw total energies in the second record?
A: 6.7 kcal/mol of atoms